The following is a DFT calculation (PBE) of a relaxed structure of Ti2FeSi.

Cell lengths 4.0363, 4.0363, 3.4282 Å; angles 90.00, 90.00, 90.00 degrees
Last column: nearest neighbours and their distance in Å.
Atoms (fractional coordinates):
Ti 0.0000 0.5000 0.0000  4 Fe 2.65, 4 Si 2.65, 4 Ti 2.85
Ti 0.5000 0.0000 0.0000  4 Fe 2.65, 4 Si 2.65, 4 Ti 2.85
Fe 0.0000 0.0000 0.5000  8 Ti 2.65, 4 Si 2.85
Si 0.5000 0.5000 0.5000  8 Ti 2.65, 4 Fe 2.85

SG: No. 123
crystal system: tetragonal
ΔE_f (raw): -175 kJ/mol of formula units
D(E_F): 4.34 states/eV per cell
V: 14.0 A^3/atom
total DFT energy (no corrections): -7.87 eV/atom